No. 1
ZnTcTe2C: optimized geometry, PBE.

abc: 5.3854 3.6310 5.3854
angles: 90.00 90.00 90.00
Last column: magnetic moment on the atom in μB.
Element x y z (fractional)
Zn (0.0000, 0.0000, 0.0000)  -0.02
Tc (0.5000, 0.5000, 0.5000)  2.43
Te (0.0000, 0.0000, 0.5000)  -0.08
C (0.0000, 0.5000, 0.0000)  -0.09
Te (0.5000, 0.0000, 0.0000)  -0.12

- E: -19.5 eV per cell
- DOS(E_F): 3.729 states/eV per cell
- Uncorrected formation energy: 1.53 eV per atom

No. 2
ThTcC2: optimized geometry, PBE.

abc: 3.6775 4.1151 4.1151
angles: 109.77 90.00 90.00
Element x y z (fractional)
C (0.5000, 0.5480, 0.1512)
C (0.5000, 0.8488, 0.4520)
Th (0.0000, 0.9890, 0.0110)
Tc (0.5000, 0.3942, 0.6058)

- E: -36.6 eV per cell
- Polymorph energy (0 for the lowest one): 0.0000 eV per atom
- DOS(E_F): 1.889 states/eV per cell
- Energy of formation from the pure elements: -88 meV per atom

No. 3
Th2Tc3C2: optimized geometry, PBE.

abc: 3.4579 5.2886 6.6125
angles: 93.81 90.00 109.08
Element x y z (fractional)
C (0.8899, 0.7797, 0.2896)
Th (0.3832, 0.7663, 0.6489)
Tc (0.6800, 0.3600, 0.8494)
Th (0.6168, 0.2337, 0.3511)
Tc (0.3200, 0.6400, 0.1506)
C (0.1101, 0.2203, 0.7104)
Tc (0.0000, 0.0000, 0.0000)

- E: -64.4 eV per cell
- DOS(E_F): 5.236 states/eV per cell
- Energy of formation from the pure elements: -7 meV per atom